The following is a DFT calculation (PBE) of a relaxed Sr2Cd2SnPb crystal.

crystal system: trigonal
E_tot: -15.9 eV/cell

Lattice parameters (Å, degrees): 5.070 5.070 8.179 90.00 90.00 120.00
Element x y z (fractional)
Sr 0.000 0.000 0.000
Sr 0.000 0.000 0.497
Cd 0.333 0.667 0.697
Cd 0.667 0.333 0.204
Sn 0.333 0.667 0.289
Pb 0.667 0.333 0.791